Record 1
YFeTe2 | Alexandria | PBE | relaxed; formation energy without anion corrections = -0.3720 eV/atom; space group = No. 123
1.0
-3.8727 -1.1077 -3.0313
-2.5177 -1.9240 3.9208
-1.4999 3.3599 0.6868
Te Fe Y
2 1 1
Cartesian
0.0000 0.0000 0.0000 Te
-3.1952 -1.5158 0.4448 Te
-2.0088 0.7180 2.3038 Fe
-2.6863 1.1261 -1.1722 Y

Record 2
Mg2Tc3 | Alexandria | PBE | relaxed; relative energy among the computed polymorphs = 0.0571 eV per atom; space group = No. 164
1.0
1.4094 -2.4412 0.0000
1.4094 2.4412 0.0000
0.0000 0.0000 11.5825
Mg Tc
2 3
Cartesian
1.4094 0.8137 9.2304 Mg
1.4094 -0.8137 2.3521 Mg
1.4094 -0.8137 6.7971 Tc
1.4094 0.8137 4.7853 Tc
0.0000 0.0000 0.0000 Tc

Record 3
Dy2Tm3PuTe6 | Alexandria | PBE | relaxed; formation energy without anion corrections = -1.2132 eV/atom; space group = No. 12
1.0
4.3147 0.0000 0.0000
0.0000 8.7125 0.2919
-2.1574 -2.5314 9.1266
Tm Te Dy Pu
3 6 2 1
Cartesian
0.0000 6.4392 3.2546 Tm
2.1574 -0.2580 6.1640 Tm
2.1574 4.3563 0.1460 Tm
2.1574 -0.1432 3.1242 Te
0.0000 1.9174 6.1985 Te
0.0000 6.3244 6.2944 Te
2.1574 -0.2948 9.1758 Te
0.0000 6.4760 0.2427 Te
2.1574 4.2638 3.2200 Te
2.1574 4.1397 6.3345 Dy
0.0000 2.0415 3.0840 Dy
2.1574 0.0000 0.0000 Pu

Record 4
RbCd2CoAs | Alexandria | PBE | relaxed; E_tot = -2.9204 eV/atom; space group = No. 123
1.0
5.2096 0.0000 0.0000
0.0000 5.2096 0.0000
0.0000 0.0000 4.5602
Rb Cd As Co
1 2 1 1
Cartesian
2.6048 2.6048 2.2801 Rb
2.6048 0.0000 0.0000 Cd
0.0000 2.6048 0.0000 Cd
0.0000 0.0000 2.2801 As
0.0000 0.0000 0.0000 Co

Record 5
Pr2DyTh | Alexandria | PBE | relaxed; relative energy among the computed polymorphs = 0.0256 eV per atom; space group = No. 119
1.0
-5.9962 1.9155 -0.1095
-5.1835 -2.2525 2.7737
-1.4412 2.6098 4.1789
Dy Th Pr
1 1 2
Cartesian
-9.4662 1.7042 5.1320 Dy
-6.3088 1.1368 3.4218 Th
-1.4424 2.6096 4.1789 Pr
-3.1550 0.5683 1.7109 Pr

Record 6
LiAl6Ag | Alexandria | PBE | relaxed; E_tot = -3.3511 eV/atom; space group = No. 12
1.0
-1.4188 1.9085 -5.0981
-4.6570 -1.3517 2.8516
2.7390 4.0129 2.7614
Al Li Ag
6 1 1
Cartesian
0.5504 3.1172 1.5026 Al
-3.1365 0.4446 1.5479 Al
-3.8871 1.4525 -0.9877 Al
-1.5225 2.0696 -2.4145 Al
-0.2002 4.1250 -1.0329 Al
-1.8142 2.5001 2.9294 Al
0.0000 0.0000 0.0000 Li
-1.6683 2.2848 0.2575 Ag

| no. | total magnetization (Bohr magnetons per cell) | density (Mg/m³) | DOS(E_F) (states/eV/f.u.) |
| --- | --- | --- | --- |
| 1 | 2.9 | 7.0 | 1.97 |
| 2 | 0.0 | 7.1 | 3.84 |
| 3 | 6.2 | 8.8 | 11.32 |
| 4 | 0.8 | 6.0 | 2.46 |
| 5 | 0.0 | 8.3 | 5.16 |
| 6 | 0.0 | 3.3 | 2.43 |